## LiReO2 (PBE-GGA)

Data for an optimized crystal structure of LiReO2.

Values from the calculation:
**Uncorrected energy**: -7.19 eV per atom
**Space-group type**: R-3m, No. 166
**Density of states at the Fermi level**: 0.7 states/eV per cell
**Raw formation energy**: -1.12 eV/atom
**Offset from the most stable computed form**: 253 meV per atom

abc: 6.502 6.502 6.502
angles: 24.66 24.66 24.66
Fractional coordinates of all 4 atoms:
Re: 0.500 0.500 0.500
O: 0.907 0.907 0.907
O: 0.093 0.093 0.093
Li: 0.000 0.000 0.000